i | # Sr2ZrMo (PBE, relaxed)
data_Sr2ZrMo
_space_group_name_H-M_alt 'P 1'
_space_group_IT_number 1
_cell_length_a 5.320
_cell_length_b 5.320
_cell_length_c 5.320
_cell_angle_alpha 60.00
_cell_angle_beta 60.00
_cell_angle_gamma 60.00
loop_
_space_group_symop_operation_xyz
'x,y,z'
loop_
_atom_site_label
_atom_site_fract_x
_atom_site_fract_y
_atom_site_fract_z
Mo1 0.500 0.500 0.500
Sr1 0.000 0.000 0.000
Sr2 0.250 0.250 0.250
Zr1 0.750 0.750 0.750
# Volume: 26.6 Å³ per atom
# Total magnetization: 0.000 μB/atom
# Theoretical density: 5.7 g cm⁻³

=====

ii | # Sr2ZrMo (PBE, relaxed)
data_Sr2ZrMo
_space_group_name_H-M_alt 'P 1'
_space_group_IT_number 1
_cell_length_a 3.120
_cell_length_b 3.120
_cell_length_c 11.188
_cell_angle_alpha 90.00
_cell_angle_beta 90.00
_cell_angle_gamma 90.00
loop_
_space_group_symop_operation_xyz
'x,y,z'
loop_
_atom_site_label
_atom_site_fract_x
_atom_site_fract_y
_atom_site_fract_z
Mo1 0.500 0.500 0.750
Sr1 0.000 0.000 0.976
Sr2 0.000 0.000 0.524
Zr1 0.500 0.500 0.250
# Volume: 27.2 Å³ per atom
# Total magnetization: 0.218 μB/atom
# Theoretical density: 5.5 g cm⁻³

=====

iii | # Sr2ZrMo (PBE, relaxed)
data_Sr2ZrMo
_space_group_name_H-M_alt 'P 1'
_space_group_IT_number 1
_cell_length_a 5.561
_cell_length_b 5.561
_cell_length_c 3.934
_cell_angle_alpha 90.00
_cell_angle_beta 90.00
_cell_angle_gamma 90.00
loop_
_space_group_symop_operation_xyz
'x,y,z'
loop_
_atom_site_label
_atom_site_fract_x
_atom_site_fract_y
_atom_site_fract_z
Mo1 0.000 0.500 0.500
Sr1 0.000 0.000 0.000
Sr2 0.500 0.500 0.000
Zr1 0.500 0.000 0.500
# Volume: 30.4 Å³ per atom
# Total magnetization: 0.616 μB/atom
# Theoretical density: 4.9 g cm⁻³

=====

iv | # Sr2ZrMo (PBE, relaxed)
data_Sr2ZrMo
_space_group_name_H-M_alt 'P 1'
_space_group_IT_number 1
_cell_length_a 6.359
_cell_length_b 6.359
_cell_length_c 6.359
_cell_angle_alpha 139.54
_cell_angle_beta 139.54
_cell_angle_gamma 58.55
loop_
_space_group_symop_operation_xyz
'x,y,z'
loop_
_atom_site_label
_atom_site_fract_x
_atom_site_fract_y
_atom_site_fract_z
Mo1 0.750 0.250 0.500
Sr1 0.000 0.000 0.000
Sr2 0.500 0.500 0.000
Zr1 0.250 0.750 0.500
# Volume: 26.8 Å³ per atom
# Total magnetization: 0.093 μB/atom
# Theoretical density: 5.6 g cm⁻³

=====

Stability, highest: i

=====

i | # Sr2ZrMo (PBE, relaxed)
data_Sr2ZrMo
_space_group_name_H-M_alt 'P 1'
_space_group_IT_number 1
_cell_length_a 6.768
_cell_length_b 6.768
_cell_length_c 6.768
_cell_angle_alpha 150.06
_cell_angle_beta 126.21
_cell_angle_gamma 62.78
loop_
_space_group_symop_operation_xyz
'x,y,z'
loop_
_atom_site_label
_atom_site_fract_x
_atom_site_fract_y
_atom_site_fract_z
Mo1 0.281 0.781 0.500
Sr1 0.040 0.040 0.000
Sr2 0.736 0.236 0.500
Zr1 0.443 0.443 0.000
# Volume: 30.9 Å³ per atom
# Total magnetization: 0.000 μB/atom
# Theoretical density: 4.9 g cm⁻³

=====

ii | # Sr2ZrMo (PBE, relaxed)
data_Sr2ZrMo
_space_group_name_H-M_alt 'P 1'
_space_group_IT_number 1
_cell_length_a 11.714
_cell_length_b 11.714
_cell_length_c 11.714
_cell_angle_alpha 16.27
_cell_angle_beta 16.27
_cell_angle_gamma 16.27
loop_
_space_group_symop_operation_xyz
'x,y,z'
loop_
_atom_site_label
_atom_site_fract_x
_atom_site_fract_y
_atom_site_fract_z
Mo1 0.750 0.750 0.750
Sr1 0.007 0.007 0.007
Sr2 0.493 0.493 0.493
Zr1 0.250 0.250 0.250
# Volume: 27.5 Å³ per atom
# Total magnetization: 0.255 μB/atom
# Theoretical density: 5.5 g cm⁻³

=====

Stability, highest: i